Record 1
Compound: Th2Pd3Rh3
Source: Alexandria
Functional: PBE-GGA
Structure: relaxed

Values from the calculation:
Formation energy in meV per atom: -827
Total moment in μB/f.u.: 0.000
Energy in eV per cell: -59.09
Crystal system: orthorhombic

Lattice parameters (Å, degrees): 4.1017 4.1650 8.5068 90.00 90.00 90.00
With the nearest neighbours (Å) after each atom.
Atoms (fractional coordinates):
Th (0.0000, 0.0000, 0.2453)  6 Rh 2.92-2.93, 6 Pd 2.95-3.00
Th (0.0000, 0.0000, 0.7547)  6 Rh 2.92-2.93, 6 Pd 2.95-3.00
Pd (0.0000, 0.5000, 0.0000)  8 Rh 2.92-2.97, 4 Th 2.95
Pd (0.0000, 0.5000, 0.5000)  4 Pd 2.92, 4 Rh 2.94, 4 Th 3.00
Pd (0.5000, 0.0000, 0.5000)  4 Pd 2.92, 4 Rh 2.96, 4 Th 2.98
Rh (0.5000, 0.0000, 0.0000)  4 Pd 2.92, 4 Th 2.93, 4 Rh 2.99
Rh (0.5000, 0.5000, 0.2521)  4 Th 2.92, 6 Pd 2.94-2.97, 2 Rh 2.99
Rh (0.5000, 0.5000, 0.7479)  4 Th 2.92, 6 Pd 2.94-2.97, 2 Rh 2.99

=====

Record 2
Compound: ThPdRh4
Source: Alexandria
Functional: PBE-GGA
Structure: relaxed

Values from the calculation:
Formation energy in meV per atom: -401
Total moment in μB/f.u.: 0.000
Energy in eV per cell: -44.42
Crystal system: cubic

Lattice parameters (Å, degrees): 5.2845 5.2845 5.2845 60.00 60.00 60.00
With the nearest neighbours (Å) after each atom.
Atoms (fractional coordinates):
Th (0.0000, 0.0000, 0.0000)  12 Rh 3.10, 4 Pd 3.24
Pd (0.2500, 0.2500, 0.2500)  12 Rh 3.10, 4 Th 3.24
Rh (0.1273, 0.6242, 0.6242)  6 Rh 2.63-2.66
Rh (0.6242, 0.1273, 0.6242)  6 Rh 2.63-2.66
Rh (0.6242, 0.6242, 0.1273)  6 Rh 2.63-2.66
Rh (0.6242, 0.6242, 0.6242)  6 Rh 2.63-2.66

=====

Record 3
Compound: Th2Pd2Rh3
Source: Alexandria
Functional: PBE-GGA
Structure: relaxed

Values from the calculation:
Formation energy in meV per atom: -727
Total moment in μB/f.u.: 0.000
Energy in eV per cell: -104.74
Crystal system: monoclinic

Lattice parameters (Å, degrees): 9.3579 4.1569 6.9067 90.00 98.79 90.00
With the nearest neighbours (Å) after each atom.
Atoms (fractional coordinates):
Th (0.0837, 0.0000, 0.2519)  6 Rh 2.83-2.95, 5 Pd 3.01-3.17
Th (0.4163, 0.5000, 0.7481)  6 Rh 2.83-2.95, 5 Pd 3.01-3.17
Th (0.5837, 0.5000, 0.2519)  6 Rh 2.83-2.95, 5 Pd 3.01-3.17
Th (0.9163, 0.0000, 0.7481)  6 Rh 2.83-2.95, 5 Pd 3.01-3.17
Pd (0.1428, 0.5000, 0.9275)  3 Pd 2.96-2.99, 4 Rh 2.96-3.05, 5 Th 3.01-3.17
Pd (0.3572, 0.0000, 0.0725)  3 Pd 2.96-2.99, 4 Rh 2.96-3.05, 5 Th 3.01-3.17
Pd (0.6428, 0.0000, 0.9275)  3 Pd 2.96-2.99, 4 Rh 2.96-3.05, 5 Th 3.01-3.17
Pd (0.8572, 0.5000, 0.0725)  3 Pd 2.96-2.99, 4 Rh 2.96-3.05, 5 Th 3.01-3.17
Rh (0.0000, 0.5000, 0.5000)  4 Th 2.88, 6 Rh 2.96-3.03, 2 Pd 3.05
Rh (0.2130, 0.0000, 0.6516)  4 Th 2.83-2.95, 5 Rh 2.96-3.10, 3 Pd 2.96-3.01
Rh (0.2870, 0.5000, 0.3484)  4 Th 2.83-2.95, 5 Rh 2.96-3.10, 3 Pd 2.96-3.01
Rh (0.5000, 0.0000, 0.5000)  4 Th 2.88, 6 Rh 2.96-3.03, 2 Pd 3.05
Rh (0.7130, 0.5000, 0.6516)  4 Th 2.83-2.95, 5 Rh 2.96-3.10, 3 Pd 2.96-3.01
Rh (0.7870, 0.0000, 0.3484)  4 Th 2.83-2.95, 5 Rh 2.96-3.10, 3 Pd 2.96-3.01